Material: LiMnFe2
Method: DFT, PBE
State: relaxed

Lattice parameters (Å, degrees): 4.9377 7.6888 2.3678 90.00 90.00 90.00
Space group Cmmm (No. 65)
Symmetry-distinct sites (fractional):
Li (0.0000, 0.0000, 0.0000) x2
Mn (0.0000, 0.5000, 0.0000) x2
Fe (0.2500, 0.2500, 0.5000) x4

Excess energy over the best structure of this formula in the dataset (eV per atom): 0.050
Formation enthalpy at 0 K (eV/atom): 0.255
DOS(E_F) (states/eV/f.u.): 3.190